Record 1
{
  "formula": "Mn2AgRh",
  "functional": "PBE",
  "state": "optimized geometry",
  "final_energy_ry_per_atom": -0.509,
  "e_form_kj_per_mol_fu": 79,
  "lattice_angstrom": [[8.866, -0.058, -0.034], [8.449, 2.685, -0.034], [8.449, 1.282, 2.360]],
  "species": ["Ag", "Mn", "Mn", "Rh"],
  "fractional_positions": [[0.748, 0.748, 0.748], [0.992, 0.992, 0.992], [0.252, 0.252, 0.252], [0.507, 0.507, 0.507]]
}

---

Record 2
{
  "formula": "NaY2H2",
  "functional": "PBE",
  "state": "optimized geometry",
  "final_energy_ry_per_atom": -0.301,
  "lattice_angstrom": [[7.220, 0.000, 0.000], [0.000, 7.220, 0.000], [0.000, 0.000, 4.188]],
  "species": ["Y", "Y", "Y", "Y", "Na", "Na", "H", "H", "H", "H"],
  "fractional_positions": [[0.175, 0.675, 0.500], [0.675, 0.825, 0.500], [0.825, 0.325, 0.500], [0.325, 0.175, 0.500], [0.000, 0.000, 0.000], [0.500, 0.500, 0.000], [0.225, 0.725, 0.000], [0.725, 0.775, 0.000], [0.775, 0.275, 0.000], [0.275, 0.225, 0.000]]
}

---

Record 3
{
  "formula": "SrTlOs2",
  "functional": "PBE",
  "state": "optimized geometry",
  "final_energy_ry_per_atom": -0.414,
  "de_polymorph_ev_per_fu": 2.83,
  "e_form_kj_per_mol_fu": 383,
  "lattice_angstrom": [[-1.254, 2.691, -0.138], [-4.093, -1.880, 0.552], [0.587, 0.601, 6.397]],
  "species": ["Os", "Os", "Sr", "Tl"],
  "fractional_positions": [[0.000, 0.000, 0.935], [0.000, 0.000, 0.565], [0.500, 0.500, 0.250], [0.500, 0.500, 0.750]]
}

---

Record 4
{
  "formula": "P2BrCl",
  "functional": "PBE",
  "state": "optimized geometry",
  "final_energy_ry_per_atom": -0.207,
  "de_polymorph_ev_per_fu": 4.02,
  "lattice_angstrom": [[-1.941, -2.689, -4.276], [1.996, -5.007, 0.474], [-3.312, 3.710, 2.133]],
  "species": ["Br", "Cl", "P", "P"],
  "fractional_positions": [[0.750, 0.250, 0.500], [0.250, 0.750, 0.500], [0.000, 0.000, 0.000], [0.500, 0.500, 0.000]]
}

---

Record 5
{
  "formula": "Li2CrPN4",
  "functional": "PBE",
  "state": "optimized geometry",
  "final_energy_ry_per_atom": -0.523,
  "lattice_angstrom": [[4.592, 0.001, -0.003], [0.000, 4.592, -0.002], [-2.293, -2.294, 4.006]],
  "species": ["Li", "Li", "Cr", "P", "N", "N", "N", "N"],
  "fractional_positions": [[0.486, 0.986, 0.972], [0.236, 0.236, 0.472], [0.736, 0.736, 0.472], [0.986, 0.486, 0.972], [0.691, 0.606, 0.736], [0.866, 0.427, 0.208], [0.342, 0.781, 0.208], [0.045, 0.130, 0.736]]
}

---

Record 6
{
  "formula": "ZrNiAs2",
  "functional": "PBE",
  "state": "optimized geometry",
  "final_energy_ry_per_atom": -0.474,
  "e_form_kj_per_mol_fu": -208,
  "lattice_angstrom": [[5.409, -0.002, 0.021], [4.211, 3.394, 0.021], [0.695, 0.245, 3.783]],
  "species": ["As", "As", "Ni", "Zr"],
  "fractional_positions": [[0.998, 0.998, 0.111], [0.717, 0.717, 0.680], [0.503, 0.503, 0.565], [0.283, 0.283, 0.145]]
}

---

Record 7
{
  "formula": "Dy4C2Br3",
  "functional": "PBE",
  "state": "optimized geometry",
  "final_energy_ry_per_atom": -0.413,
  "lattice_angstrom": [[-2.825, -2.129, -0.387], [5.212, -3.204, -4.067], [1.454, -3.344, 7.783]],
  "species": ["Dy", "Dy", "Dy", "Dy", "C", "C", "Br", "Br", "Br"],
  "fractional_positions": [[0.683, 0.366, 0.099], [0.097, 0.194, 0.708], [0.903, 0.806, 0.292], [0.317, 0.634, 0.901], [0.304, 0.607, 0.171], [0.696, 0.393, 0.829], [0.409, 0.818, 0.603], [0.000, 0.000, 0.000], [0.591, 0.182, 0.397]]
}

---

Record 8
{
  "formula": "CsBa2IrC",
  "functional": "PBE",
  "state": "optimized geometry",
  "final_energy_ry_per_atom": -0.310,
  "e_form_kj_per_mol_fu": 162,
  "lattice_angstrom": [[6.095, 0.000, 0.000], [0.000, 4.003, 0.000], [0.000, 0.000, 6.095]],
  "species": ["Cs", "C", "Ir", "Ba", "Ba"],
  "fractional_positions": [[0.500, 0.500, 0.500], [0.000, 0.000, 0.000], [0.000, 0.500, 0.000], [0.000, 0.000, 0.500], [0.500, 0.000, 0.000]]
}

---

Record 9
{
  "formula": "SmPaAgAu",
  "functional": "PBE",
  "state": "optimized geometry",
  "final_energy_ry_per_atom": -0.384,
  "e_form_kj_per_mol_fu": -51,
  "lattice_angstrom": [[5.166, 0.000, 0.000], [2.583, 4.474, 0.000], [2.583, 1.491, 4.218]],
  "species": ["Pa", "Au", "Ag", "Sm"],
  "fractional_positions": [[0.000, 0.000, 0.000], [0.750, 0.750, 0.750], [0.250, 0.250, 0.250], [0.500, 0.500, 0.500]]
}

---

Record 10
{
  "formula": "Sr2LiZn6Pd",
  "functional": "PBE",
  "state": "optimized geometry",
  "final_energy_ry_per_atom": -0.152,
  "e_form_kj_per_mol_fu": -244,
  "lattice_angstrom": [[6.873, 0.032, 0.059], [0.032, 6.742, 0.047], [3.491, 3.422, 4.789]],
  "species": ["Sr", "Sr", "Li", "Zn", "Zn", "Zn", "Zn", "Zn", "Zn", "Pd"],
  "fractional_positions": [[0.950, 0.318, 0.367], [0.050, 0.682, 0.633], [0.000, 0.000, 0.000], [0.414, 0.186, 0.481], [0.596, 0.668, 0.218], [0.404, 0.889, 0.930], [0.596, 0.111, 0.070], [0.404, 0.332, 0.782], [0.586, 0.814, 0.519], [0.500, 0.500, 0.000]]
}

---

Record 11
{
  "formula": "Ce2MgHg",
  "functional": "PBE",
  "state": "optimized geometry",
  "final_energy_ry_per_atom": -0.260,
  "de_polymorph_ev_per_fu": 0.42,
  "e_form_kj_per_mol_fu": -38,
  "lattice_angstrom": [[-1.846, -3.598, -0.090], [2.593, -1.400, 2.771], [-4.172, 2.017, 4.921]],
  "species": ["Mg", "Hg", "Ce", "Ce"],
  "fractional_positions": [[0.500, 0.500, 0.500], [0.500, 0.500, 0.000], [0.000, 0.000, 0.757], [0.000, 0.000, 0.243]]
}

---

Record 12
{
  "formula": "Ho12Tm5Th2",
  "functional": "PBE",
  "state": "optimized geometry",
  "final_energy_ry_per_atom": -0.354,
  "de_polymorph_ev_per_fu": 0.00,
  "e_form_kj_per_mol_fu": 47,
  "lattice_angstrom": [[6.109, 0.252, -0.242], [-2.662, 8.220, -7.021], [-0.388, -2.211, 13.445]],
  "species": ["Ho", "Ho", "Ho", "Ho", "Ho", "Ho", "Ho", "Ho", "Ho", "Ho", "Ho", "Ho", "Tm", "Tm", "Tm", "Tm", "Tm", "Th", "Th"],
  "fractional_positions": [[0.051, 0.208, 0.393], [0.211, 0.844, 0.079], [0.685, 0.738, 0.132], [0.104, 0.417, 0.287], [0.632, 0.528, 0.237], [0.473, 0.895, 0.551], [0.527, 0.105, 0.449], [0.896, 0.583, 0.713], [0.368, 0.472, 0.763], [0.789, 0.156, 0.921], [0.315, 0.262, 0.868], [0.949, 0.792, 0.607], [0.422, 0.687, 0.661], [0.159, 0.633, 0.185], [0.000, 0.000, 0.500], [0.841, 0.367, 0.815], [0.578, 0.313, 0.339], [0.736, 0.948, 0.025], [0.264, 0.052, 0.975]]
}

---

Record 13
{
  "formula": "LiBPb3",
  "functional": "PBE",
  "state": "optimized geometry",
  "final_energy_ry_per_atom": -0.215,
  "de_polymorph_ev_per_fu": 2.29,
  "e_form_kj_per_mol_fu": 490,
  "lattice_angstrom": [[5.106, 0.000, 0.000], [0.000, 5.106, 0.000], [0.000, 0.000, 5.106]],
  "species": ["Pb", "Pb", "Pb", "B", "Li"],
  "fractional_positions": [[0.000, 0.500, 0.000], [0.000, 0.000, 0.500], [0.500, 0.000, 0.000], [0.500, 0.500, 0.500], [0.000, 0.000, 0.000]]
}

---

Record 14
{
  "formula": "TaSiHg2",
  "functional": "PBE",
  "state": "optimized geometry",
  "final_energy_ry_per_atom": -0.307,
  "lattice_angstrom": [[9.648, 0.008, 0.005], [9.151, 3.056, 0.005], [9.151, 1.491, 2.667]],
  "species": ["Hg", "Hg", "Si", "Ta"],
  "fractional_positions": [[0.004, 0.004, 0.004], [0.245, 0.245, 0.245], [0.494, 0.494, 0.494], [0.757, 0.757, 0.757]]
}

---

Record 15
{
  "formula": "PmDy2Ho2Mg",
  "functional": "PBE",
  "state": "optimized geometry",
  "final_energy_ry_per_atom": -0.266,
  "e_form_kj_per_mol_fu": 286,
  "lattice_angstrom": [[-1.522, -3.058, -1.132], [0.337, -4.212, 10.924], [-9.396, 3.998, 1.832]],
  "species": ["Pm", "Pm", "Dy", "Dy", "Dy", "Dy", "Ho", "Ho", "Ho", "Ho", "Mg", "Mg"],
  "fractional_positions": [[0.500, 0.500, 0.000], [0.000, 0.000, 0.500], [0.500, 0.773, 0.410], [0.500, 0.227, 0.590], [0.000, 0.727, 0.910], [0.000, 0.273, 0.090], [0.500, 0.070, 0.247], [0.000, 0.570, 0.253], [0.500, 0.930, 0.753], [0.000, 0.430, 0.747], [0.000, 0.000, 0.000], [0.500, 0.500, 0.500]]
}

---

Record 16
{
  "formula": "TmTaTc4",
  "functional": "PBE",
  "state": "optimized geometry",
  "final_energy_ry_per_atom": -0.716,
  "e_form_kj_per_mol_fu": -65,
  "lattice_angstrom": [[5.256, 0.000, 0.000], [2.628, 4.551, 0.000], [2.628, 1.517, 4.291]],
  "species": ["Tm", "Tc", "Tc", "Tc", "Tc", "Ta"],
  "fractional_positions": [[0.250, 0.250, 0.250], [0.625, 0.625, 0.124], [0.625, 0.124, 0.625], [0.625, 0.625, 0.625], [0.124, 0.625, 0.625], [0.000, 0.000, 0.000]]
}

---

Record 17
{
  "formula": "Ce7AgI12",
  "functional": "PBE",
  "state": "optimized geometry",
  "final_energy_ry_per_atom": -0.310,
  "lattice_angstrom": [[9.620, -0.266, -2.969], [-3.951, 8.775, -2.969], [-0.177, -0.266, 10.066]],
  "species": ["Ce", "Ce", "Ce", "Ce", "Ce", "Ce", "Ce", "Ag", "I", "I", "I", "I", "I", "I", "I", "I", "I", "I", "I", "I"],
  "fractional_positions": [[0.955, 0.667, 0.882], [0.333, 0.118, 0.045], [0.118, 0.045, 0.333], [0.500, 0.500, 0.500], [0.882, 0.955, 0.667], [0.667, 0.882, 0.955], [0.045, 0.333, 0.118], [0.000, 0.000, 0.000], [0.924, 0.311, 0.772], [0.689, 0.228, 0.076], [0.479, 0.155, 0.396], [0.845, 0.604, 0.521], [0.228, 0.076, 0.689], [0.604, 0.521, 0.845], [0.396, 0.479, 0.155], [0.772, 0.924, 0.311], [0.155, 0.396, 0.479], [0.521, 0.845, 0.604], [0.311, 0.772, 0.924], [0.076, 0.689, 0.228]]
}

---

Record 18
{
  "formula": "Pr12SmIn4O3",
  "functional": "PBE",
  "state": "optimized geometry",
  "final_energy_ry_per_atom": -0.381,
  "lattice_angstrom": [[-4.808, -4.491, 6.094], [8.288, -3.405, -0.370], [0.424, 8.654, 2.313]],
  "species": ["Pr", "Pr", "Pr", "Pr", "Pr", "Pr", "Pr", "Pr", "Pr", "Pr", "Pr", "Pr", "Sm", "In", "In", "In", "In", "O", "O", "O"],
  "fractional_positions": [[0.250, 0.500, 0.750], [0.728, 0.000, 0.728], [0.272, 0.000, 0.272], [0.750, 0.500, 0.250], [0.728, 0.728, 0.000], [0.272, 0.272, 0.000], [0.750, 0.250, 0.500], [0.250, 0.750, 0.500], [0.500, 0.250, 0.750], [0.000, 0.728, 0.728], [0.500, 0.750, 0.250], [0.000, 0.272, 0.272], [0.000, 0.000, 0.000], [0.500, 0.500, 0.500], [0.000, 0.000, 0.500], [0.500, 0.000, 0.000], [0.000, 0.500, 0.000], [0.500, 0.000, 0.500], [0.500, 0.500, 0.000], [0.000, 0.500, 0.500]]
}

---

Record 19
{
  "formula": "Dy2TiZn12Cu3",
  "functional": "PBE",
  "state": "optimized geometry",
  "final_energy_ry_per_atom": -0.169,
  "e_form_kj_per_mol_fu": 305,
  "lattice_angstrom": [[8.232, 0.465, 0.330], [4.470, 6.929, 0.330], [4.470, 2.602, 6.430]],
  "species": ["Dy", "Dy", "Ti", "Zn", "Zn", "Zn", "Zn", "Zn", "Zn", "Zn", "Zn", "Zn", "Zn", "Zn", "Zn", "Cu", "Cu", "Cu"],
  "fractional_positions": [[0.585, 0.585, 0.585], [0.415, 0.415, 0.415], [0.000, 0.000, 0.000], [0.221, 0.221, 0.860], [0.830, 0.830, 0.462], [0.462, 0.830, 0.830], [0.860, 0.221, 0.221], [0.830, 0.462, 0.830], [0.221, 0.860, 0.221], [0.779, 0.779, 0.140], [0.170, 0.170, 0.538], [0.538, 0.170, 0.170], [0.140, 0.779, 0.779], [0.170, 0.538, 0.170], [0.779, 0.140, 0.779], [0.500, 0.000, 0.000], [0.000, 0.500, 0.000], [0.000, 0.000, 0.500]]
}

---

Record 20
{
  "formula": "Pm4Fe3C5",
  "functional": "PBE",
  "state": "optimized geometry",
  "final_energy_ry_per_atom": -0.566,
  "e_form_kj_per_mol_fu": -187,
  "lattice_angstrom": [[3.817, 0.000, 0.000], [1.908, 5.715, -0.028], [1.908, 2.012, 8.859]],
  "species": ["Pm", "Pm", "Pm", "Pm", "Fe", "Fe", "Fe", "C", "C", "C", "C", "C"],
  "fractional_positions": [[0.896, 0.310, 0.898], [0.255, 0.824, 0.666], [0.745, 0.176, 0.334], [0.104, 0.690, 0.102], [0.458, 0.749, 0.335], [0.000, 0.500, 0.500], [0.542, 0.251, 0.665], [0.602, 0.980, 0.816], [0.500, 0.500, 0.500], [0.316, 0.255, 0.114], [0.684, 0.745, 0.886], [0.398, 0.020, 0.184]]
}

---

It is found that the total magnetization values, taken in the order of the records, are 1.0; 1.0; 0.0; 0.0; 1.0; 0.0; 0.0; 0.0; 1.4; 0.0; 2.5; 0.0; 0.0; 0.0; 0.0; 0.0; 9.3; 0.5; 0.0; 2.9 μB/f.u..